No. 1
The following is a DFT calculation (PBE) of a relaxed NaLa2HgN crystal.

Computed properties:
The value obtained for the excess energy over the best structure of this formula in the dataset is 0 meV per atom. The space group is P4/mmm (123).

Cell lengths 5.025, 5.025, 4.969 Å; angles 90.00, 90.00, 90.00 degrees
Positions (direct):
Na 0.000 0.000 0.500
N 0.000 0.000 0.000
Hg 0.500 0.500 0.500
La 0.000 0.500 0.000
La 0.500 0.000 0.000

No. 2
The following is a DFT calculation (PBE) of a relaxed NaLa2HgN crystal.

Computed properties:
The value obtained for the excess energy over the best structure of this formula in the dataset is 1436 meV per atom. The space group is P4/mmm (123).

Cell lengths 6.213, 4.261, 6.213 Å; angles 90.00, 90.00, 90.00 degrees
Positions (direct):
Hg 0.000 0.000 0.000
La 0.000 0.000 0.500
La 0.500 0.000 0.000
N 0.000 0.500 0.000
Na 0.500 0.500 0.500

No. 3
The following is a DFT calculation (PBE) of a relaxed La2NbHgN crystal.

Computed properties:
The space group is P4/mmm (123).

Cell lengths 5.309, 5.309, 4.171 Å; angles 90.00, 90.00, 90.00 degrees
Positions (direct):
La 0.500 0.000 0.000
La 0.000 0.500 0.000
Nb 0.000 0.000 0.500
N 0.000 0.000 0.000
Hg 0.500 0.500 0.500

Uncorrected formation energy
In order: -583; 853; -620
Unit: meV per atom
DFT total energy
In order: -4.5436; -3.1072; -6.3306
Unit: eV per atom